First-principles (PBE-GGA) data for Th2Ni3Ge5 after structural relaxation, as listed in Alexandria.

- ΔE_f: -61.7 kJ per mole of atoms
- Size of the total moment: 0.0 μB/cell
- Energy above the most stable polymorph in this dataset: 0 meV/atom
- Crystal system: monoclinic

Cell and atoms, written as extended XYZ:
```
20
Lattice="-1.9160 2.8033 -5.0065 -8.1797 1.2094 0.2226 1.6497 8.0992 0.3187" Properties=species:S:1:pos:R:3 pbc="T T T"
Ni -5.0344 4.4032 -2.9015
Ni -1.4260 4.8593 -0.3724
Ni -3.4116 7.7087 -1.5637
Ni 0.9917 8.6746 -0.9347
Ni -7.0200 7.2526 -4.0929
Ni -9.4378 3.4373 -3.5306
Ge -2.1999 8.5106 -3.4598
Ge -4.8625 9.1159 -0.3545
Ge -6.2461 3.6013 -1.0055
Ge -3.7641 5.3410 -0.9812
Ge -1.1381 7.1817 -0.9555
Ge -0.5822 3.0266 -1.5875
Ge -4.6819 6.7709 -3.4841
Ge -3.5835 2.9960 -4.1107
Ge -7.8638 9.0853 -2.8778
Ge -7.3079 4.9302 -3.5097
Th -6.6133 6.7404 -0.9484
Th -1.8327 5.3715 -3.5169
Th -5.0261 9.9261 -3.4268
Th -3.4199 2.1858 -1.0385
```